# 1
Compound: ScSbCl2
Source: Alexandria via LeMat-Bulk
Functional: PBE
Structure: relaxed

```
ScSbCl2
1.0
-1.622 2.900 6.365
1.622 -2.900 6.365
1.622 2.900 -6.365
Sc Sb Cl
1 1 2
direct
0.000 0.000 0.000 Sc
0.500 0.500 0.000 Sb
0.152 0.652 0.500 Cl
0.848 0.348 0.500 Cl
```

=====

# 2
Compound: ScSbCl2
Source: Alexandria via LeMat-Bulk
Functional: PBE
Structure: relaxed

```
ScSbCl2
1.0
4.519 0.000 0.000
0.000 4.654 0.000
-0.071 0.000 4.540
Sc Sb Cl
1 1 2
direct
0.000 0.000 0.000 Sc
0.500 0.000 0.500 Sb
0.222 0.500 0.777 Cl
0.778 0.500 0.223 Cl
```

=====

# 3
Compound: Sc2SbCl
Source: Alexandria via LeMat-Bulk
Functional: PBE
Structure: relaxed

```
Sc2SbCl
1.0
3.773 0.000 0.000
0.000 3.693 0.000
-0.010 0.000 6.817
Sc Sb Cl
2 1 1
direct
0.001 0.000 0.224 Sc
0.999 0.000 0.776 Sc
0.500 0.500 0.000 Sb
0.000 0.500 0.500 Cl
```

=====

# 4
Compound: Sc2SbCl
Source: Alexandria via LeMat-Bulk
Functional: PBE
Structure: relaxed

```
Sc2SbCl
1.0
2.249 1.298 7.334
-2.249 1.298 7.334
0.000 -2.597 7.334
Sc Sb Cl
2 1 1
direct
0.113 0.113 0.113 Sc
0.887 0.887 0.887 Sc
0.500 0.500 0.500 Sb
0.000 0.000 0.000 Cl
```

=====

# 5
Compound: ScSbCl2
Source: Alexandria via LeMat-Bulk
Functional: PBE
Structure: relaxed

```
ScSbCl2
1.0
0.000 3.597 3.597
3.597 0.000 3.597
3.597 3.597 0.000
Sc Sb Cl
1 1 2
direct
0.000 0.000 0.000 Sc
0.750 0.750 0.750 Sb
0.250 0.250 0.250 Cl
0.500 0.500 0.500 Cl
```

=====

# 6
Compound: ScSbCl2
Source: Alexandria via LeMat-Bulk
Functional: PBE
Structure: relaxed

```
ScSbCl2
1.0
0.000 3.517 3.517
3.517 0.000 3.517
3.517 3.517 0.000
Sc Sb Cl
1 1 2
direct
0.000 0.000 0.000 Sc
0.500 0.500 0.500 Sb
0.250 0.250 0.250 Cl
0.750 0.750 0.750 Cl
```

=====

# 7
Compound: ScSbCl
Source: Alexandria via LeMat-Bulk
Functional: PBE
Structure: relaxed

```
ScSbCl
1.0
0.000 3.431 3.431
3.431 0.000 3.431
3.431 3.431 0.000
Sc Sb Cl
1 1 1
direct
0.000 0.000 0.000 Sc
0.750 0.750 0.750 Sb
0.250 0.250 0.250 Cl
```

=====

# 8
Compound: ScSbCl2
Source: Alexandria via LeMat-Bulk
Functional: PBE
Structure: relaxed

```
ScSbCl2
1.0
1.702 0.982 11.422
-1.702 0.982 11.422
0.000 -1.965 11.422
Sc Sb Cl
1 1 2
direct
0.000 0.000 0.000 Sc
0.500 0.500 0.500 Sb
0.380 0.380 0.380 Cl
0.620 0.620 0.620 Cl
```

=====

# 9
Compound: ScSbCl2
Source: Alexandria via LeMat-Bulk
Functional: PBE
Structure: relaxed

```
ScSbCl2
1.0
-1.585 2.341 8.219
1.585 -2.341 8.219
1.585 2.341 -8.219
Sc Sb Cl
1 1 2
direct
0.000 0.000 0.000 Sc
0.165 0.665 0.500 Sb
0.520 0.520 0.000 Cl
0.883 0.383 0.500 Cl
```

=====

# 10
Compound: Sc3SbCl
Source: Alexandria via LeMat-Bulk
Functional: PBE
Structure: relaxed

```
Sc3SbCl
1.0
4.779 0.000 0.000
0.000 4.779 0.000
0.000 0.000 4.779
Sc Sb Cl
3 1 1
direct
0.000 0.000 0.500 Sc
0.000 0.500 0.000 Sc
0.500 0.000 0.000 Sc
0.500 0.500 0.500 Sb
0.000 0.000 0.000 Cl
```

=====

# 11
Compound: ScSb2Cl
Source: Alexandria via LeMat-Bulk
Functional: PBE
Structure: relaxed

```
ScSb2Cl
1.0
6.089 -1.861 0.000
6.089 1.861 0.000
-1.487 0.000 4.385
Sc Sb Cl
1 2 1
direct
0.000 0.000 0.000 Sc
0.281 0.281 0.785 Sb
0.719 0.719 0.215 Sb
0.500 0.500 0.500 Cl
```

=====

# 12
Compound: Sc2SbCl
Source: Alexandria via LeMat-Bulk
Functional: PBE
Structure: relaxed

```
Sc2SbCl
1.0
3.536 -2.028 0.000
3.536 2.028 0.000
-2.311 0.000 6.215
Sc Sb Cl
2 1 1
direct
0.244 0.244 0.226 Sc
0.756 0.756 0.774 Sc
0.000 0.000 0.500 Sb
0.500 0.500 0.000 Cl
```

=====

Energy above the most stable polymorph in this dataset list, top to bottom, in meV per atom: 88.2, 374.8, 8.6, 12.1, 798.8, 774.4, 546.4, 39.7, 200.7, 0.0, 200.6, 32.0
Magnetization list, top to bottom, in Bohr magnetons per cell: 0.0, 0.0, 1.4, 0.0, 1.7, 0.0, 0.0, 0.0, 0.1, 0.0, 0.0, 0.0
Formation energy without anion corrections list, top to bottom, in meV per atom: -1125, -838, -981, -978, -414, -439, -605, -1174, -1013, -531, -549, -958